This record from the Alexandria database describes an optimized crystal structure of SrW2O6. The functional is PBE with a Hubbard U.

```
9
Lattice="2.636 -4.809 0.000 2.636 4.809 0.000 -0.117 0.000 5.353" Properties=species:S:1:pos:R:3 pbc="T T T"
Sr 0.000 0.000 0.000
W 2.578 1.548 2.677
W 2.578 -1.548 2.677
O 0.981 1.777 1.596
O 1.906 0.000 3.789
O 0.981 -1.777 1.596
O 4.174 1.777 3.758
O 3.250 0.000 1.565
O 4.174 -1.777 3.758
```

Calculated values
**Symmetry**: No. 12
**Total energy**: -7.433 eV per atom